(1)
4
Lattice="3.501 0.000 0.000 0.000 4.529 0.000 -1.726 0.000 5.831" Properties=species:S:1:pos:R:3 comment="CaMgAl2, relaxed, DFT PBE" space_group="Pm, No. 6" delta_e_f_ev_per_atom=-0.109 dos_ef_per_ev_cell=1.69 magnetic_moment_mub_per_cell=0.00 pbc="T T T"
Ca 0.000 0.000 0.000
Mg 1.769 2.265 2.071
Al 0.023 0.000 3.102
Al 0.025 2.265 4.563

***

(2)
12
Lattice="2.722 1.571 9.095 -2.722 1.571 9.095 0.000 -3.143 9.095" Properties=species:S:1:pos:R:3 comment="CaMg2Al9, relaxed, DFT PBE" space_group="R-3m, No. 166" delta_e_f_ev_per_atom=-0.064 dos_ef_per_ev_cell=4.62 magnetic_moment_mub_per_cell=0.00 pbc="T T T"
Ca 0.000 0.000 0.000
Mg 0.000 0.000 3.932
Mg 0.000 0.000 23.354
Al -1.374 -0.793 11.402
Al 0.000 0.000 9.141
Al 0.000 -1.587 15.884
Al -1.374 0.793 15.884
Al 0.000 0.000 13.643
Al 1.374 -0.793 11.402
Al 0.000 1.587 11.402
Al 0.000 0.000 18.145
Al 1.374 0.793 15.884

***

(3)
16
Lattice="4.780 0.000 0.000 0.000 4.780 0.000 0.000 0.000 19.472" Properties=species:S:1:pos:R:3 comment="CaMgAl2, relaxed, DFT PBE" space_group="I-42d, No. 122" delta_e_f_ev_per_atom=0.228 dos_ef_per_ev_cell=10.85 magnetic_moment_mub_per_cell=0.00 pbc="T T T"
Ca 0.000 0.000 0.000
Ca 0.000 2.390 4.868
Ca 2.390 0.000 14.604
Ca 2.390 2.390 9.736
Mg 0.000 0.000 9.736
Mg 0.000 2.390 14.604
Mg 2.390 0.000 4.868
Mg 2.390 2.390 0.000
Al 0.599 1.195 12.170
Al 1.195 2.989 17.038
Al 1.195 4.181 7.302
Al 1.791 1.195 2.434
Al 2.989 3.585 2.434
Al 3.585 0.599 7.302
Al 3.585 1.791 17.038
Al 4.181 3.585 12.170

***

(4)
21
Lattice="12.436 0.000 0.000 -6.218 10.770 0.000 0.000 0.000 3.473" Properties=species:S:1:pos:R:3 comment="Ca2Mg12Al7, relaxed, DFT PBE" space_group="P-3, No. 147" delta_e_f_ev_per_atom=-0.049 dos_ef_per_ev_cell=8.00 magnetic_moment_mub_per_cell=0.00 pbc="T T T"
Ca 0.000 7.180 0.889
Ca 6.218 3.590 2.585
Mg -2.969 6.681 2.606
Mg -4.151 8.995 0.848
Mg 0.504 2.677 0.848
Mg 2.570 0.902 2.625
Mg 1.917 4.858 2.606
Mg 5.165 0.769 0.868
Mg 1.053 10.001 2.606
Mg 4.301 5.912 0.868
Mg 3.648 9.868 0.848
Mg 5.714 8.093 2.625
Mg 10.370 1.775 2.625
Mg 9.188 4.089 0.868
Al 0.000 0.000 1.737
Al -0.971 4.567 2.617
Al -1.777 9.328 2.617
Al 3.470 3.125 0.857
Al 2.749 7.645 2.617
Al 7.995 1.442 0.857
Al 7.189 6.203 0.857

***

(5)
4
Lattice="3.400 0.000 0.000 0.000 3.400 0.000 0.000 0.000 7.906" Properties=species:S:1:pos:R:3 comment="CaMgAl2, relaxed, DFT PBE" space_group="P4mm, No. 99" delta_e_f_ev_per_atom=-0.063 dos_ef_per_ev_cell=1.49 magnetic_moment_mub_per_cell=0.00 pbc="T T T"
Ca 0.000 0.000 0.000
Mg 1.700 1.700 2.528
Al 0.000 0.000 4.299
Al 1.700 1.700 5.725

***

(6)
16
Lattice="8.622 0.000 0.000 0.000 8.622 0.000 0.000 0.000 6.765" Properties=species:S:1:pos:R:3 comment="Ca2MgAl, relaxed, DFT PBE" space_group="I-42d, No. 122" delta_e_f_ev_per_atom=0.206 dos_ef_per_ev_cell=13.58 magnetic_moment_mub_per_cell=0.00 pbc="T T T"
Ca 1.984 2.156 0.846
Ca 2.156 6.296 2.537
Ca 2.156 6.638 5.920
Ca 2.327 2.156 4.228
Ca 6.296 6.467 4.228
Ca 6.467 1.984 5.920
Ca 6.467 2.327 2.537
Ca 6.638 6.467 0.846
Mg 0.000 0.000 3.383
Mg 0.000 4.311 5.074
Mg 4.311 0.000 1.691
Mg 4.311 4.311 0.000
Al 0.000 0.000 0.000
Al 0.000 4.311 1.691
Al 4.311 0.000 5.074
Al 4.311 4.311 3.383